DFT (PBE) results for a relaxed K2MnH6Pt crystal.

Computed properties:
Its density of states at the Fermi level is 4.36 states/eV per cell. As for the space-group type: No. 164.

a = 5.119 Å, b = 5.675 Å, c = 5.675 Å
α = 120.00°, β = 90.00°, γ = 90.00°
Fractional coordinates of all 10 atoms:
K  0.246  0.333  0.667
K  0.754  0.667  0.333
Mn  0.500  0.000  0.000
H  0.745  0.128  0.257
H  0.745  0.128  0.872
H  0.745  0.743  0.872
H  0.255  0.872  0.128
H  0.255  0.257  0.128
H  0.255  0.872  0.743
Pt  0.000  0.000  0.000



DFT (PBE) results for a relaxed KMn2HPt crystal.

Computed properties:
Its density of states at the Fermi level is 5.45 states/eV per cell. As for the space-group type: No. 123.

a = 5.975 Å, b = 5.407 Å, c = 5.975 Å
α = 90.00°, β = 90.00°, γ = 90.00°
Fractional coordinates of all 5 atoms:
H  0.500  0.500  0.500
K  0.000  0.000  0.000
Mn  0.000  0.000  0.500
Mn  0.500  0.000  0.000
Pt  0.000  0.500  0.000



DFT (PBE) results for a relaxed KMn2HPt crystal.

Computed properties:
Its density of states at the Fermi level is 2.56 states/eV per cell. As for the space-group type: No. 123.

a = 5.016 Å, b = 3.514 Å, c = 5.016 Å
α = 90.00°, β = 90.00°, γ = 90.00°
Fractional coordinates of all 5 atoms:
H  0.000  0.500  0.000
K  0.000  0.000  0.000
Mn  0.000  0.000  0.500
Mn  0.500  0.000  0.000
Pt  0.500  0.500  0.500



DFT (PBE) results for a relaxed K2Rb2MnH6 crystal.

Computed properties:
Its density of states at the Fermi level is 4.90 states/eV per cell. As for the space-group type: No. 12.

a = 6.269 Å, b = 6.269 Å, c = 6.679 Å
α = 94.16°, β = 94.16°, γ = 117.87°
Fractional coordinates of all 11 atoms:
K  0.344  0.656  0.500
K  0.656  0.344  0.500
Rb  0.845  0.155  0.000
Rb  0.155  0.845  0.000
Mn  0.000  0.000  0.500
H  0.827  0.827  0.668
H  0.018  0.250  0.630
H  0.173  0.173  0.332
H  0.250  0.018  0.630
H  0.982  0.750  0.370
H  0.750  0.982  0.370



DFT (PBE) results for a relaxed KRb3Mn2H8 crystal.

Computed properties:
As for the space-group type: No. 164.

a = 6.266 Å, b = 6.266 Å, c = 8.216 Å
α = 90.00°, β = 90.00°, γ = 120.00°
Fractional coordinates of all 14 atoms:
K  0.000  0.000  0.500
Rb  0.333  0.667  0.687
Rb  0.667  0.333  0.313
Rb  0.000  0.000  0.000
Mn  0.333  0.667  0.221
Mn  0.667  0.333  0.779
H  0.333  0.667  0.012
H  0.667  0.333  0.988
H  0.182  0.818  0.300
H  0.818  0.182  0.700
H  0.182  0.364  0.300
H  0.818  0.636  0.700
H  0.636  0.818  0.300
H  0.364  0.182  0.700



DFT (PBE) results for a relaxed K2SrMnH6 crystal.

Computed properties:
Its density of states at the Fermi level is 6.89 states/eV per cell. As for the space-group type: No. 164.

a = 6.037 Å, b = 5.927 Å, c = 5.927 Å
α = 120.00°, β = 90.00°, γ = 90.00°
Fractional coordinates of all 10 atoms:
K  0.103  0.333  0.667
K  0.897  0.667  0.333
Sr  0.500  0.000  0.000
Mn  0.000  0.000  0.000
H  0.835  0.133  0.265
H  0.835  0.133  0.867
H  0.835  0.735  0.867
H  0.165  0.867  0.133
H  0.165  0.265  0.133
H  0.165  0.867  0.735



DFT (PBE) results for a relaxed KMnTl2H crystal.

Computed properties:
Its density of states at the Fermi level is 3.64 states/eV per cell. As for the space-group type: No. 123.

a = 6.189 Å, b = 4.118 Å, c = 6.189 Å
α = 90.00°, β = 90.00°, γ = 90.00°
Fractional coordinates of all 5 atoms:
H  0.000  0.500  0.000
Tl  0.000  0.000  0.500
Tl  0.500  0.000  0.000
Mn  0.500  0.500  0.500
K  0.000  0.000  0.000



DFT (PBE) results for a relaxed K2MnTlH6 crystal.

Computed properties:
Its density of states at the Fermi level is 5.11 states/eV per cell. As for the space-group type: No. 225.

a = 5.877 Å, b = 5.877 Å, c = 5.877 Å
α = 60.00°, β = 60.00°, γ = 60.00°
Fractional coordinates of all 10 atoms:
K  0.750  0.750  0.750
K  0.250  0.250  0.250
Mn  0.000  0.000  0.000
Tl  0.500  0.500  0.500
H  0.206  0.794  0.794
H  0.206  0.794  0.206
H  0.206  0.206  0.794
H  0.794  0.794  0.206
H  0.794  0.206  0.206
H  0.794  0.206  0.794



no.,VASP energy (eV per atom)
1,-3.886
2,-3.370
3,-4.181
4,-3.058
5,-3.560
6,-3.483
7,-2.705
8,-3.411